Entry 1:
Below is an optimized crystal structure of RbAgS2, with properties calculated at the PBE-GGA level.

a b c (Å): 9.3062 9.3062 9.3062
angles (deg): 147.34 147.34 46.86
Last column: nearest neighbours and their distance in Å.
Atoms (fractional coordinates):
Rb  0.0000  0.0000  0.0000  8 S 3.54-3.71, 4 Ag 3.70
Rb  0.7500  0.2500  0.5000  8 S 3.54-3.71, 4 Ag 3.70
Ag  0.2500  0.7500  0.5000  4 S 2.51
Ag  0.5000  0.5000  0.0000  4 S 2.51
S  0.3526  0.6250  0.2276  2 Ag 2.51, 2 S 2.63
S  0.3750  0.6026  0.7276  2 Ag 2.51, 2 S 2.63
S  0.3974  0.1250  0.7724  2 Ag 2.51, 2 S 2.63
S  0.8750  0.6474  0.2724  2 Ag 2.51, 2 S 2.63

## Properties
Size of the total moment in μB/f.u.: 0.0
Uncorrected formation energy in eV per atom: -0.320
Relative energy among the computed polymorphs in meV per atom: 157
Symmetry: I-42d

Entry 2:
Below is an optimized crystal structure of KMn2Ir, with properties calculated at the PBE-GGA level.

a b c (Å): 6.2890 6.2890 6.2890
angles (deg): 154.13 126.49 60.36
Last column: nearest neighbours and their distance in Å.
Atoms (fractional coordinates):
K  0.0000  0.0000  0.0000  2 K 2.82
Mn  0.3039  0.8039  0.5000  2 Ir 2.56, 2 Mn 2.82
Mn  0.6961  0.1961  0.5000  2 Ir 2.56, 2 Mn 2.82
Ir  0.5000  0.5000  0.0000  4 Mn 2.56, 2 Ir 2.82

## Properties
Size of the total moment in μB/f.u.: 8.4
Formation energy in eV per formula unit: 3.175
Relative energy among the computed polymorphs in meV per atom: 301
Symmetry: Immm

Entry 3:
Below is an optimized crystal structure of BaPm2PO8, with properties calculated at the PBE-GGA level.

a b c (Å): 5.1559 5.1559 7.4681
angles (deg): 90.00 90.00 120.00
Last column: nearest neighbours and their distance in Å.
Atoms (fractional coordinates):
Ba  0.0000  0.0000  0.0000  12 O 3.02-3.08
Pm  0.3333  0.6667  0.3652  1 O 2.23
Pm  0.6667  0.3333  0.6348  1 O 2.23
P  0.0000  0.0000  0.5000  6 O 1.70
O  0.1550  0.3099  0.6317  1 P 1.70
O  0.1550  0.8450  0.6317  1 P 1.70
O  0.3099  0.1550  0.3683  1 P 1.70
O  0.3333  0.6667  0.0659  1 Pm 2.23
O  0.6667  0.3333  0.9341  1 Pm 2.23
O  0.6901  0.8450  0.6317  1 P 1.70
O  0.8450  0.1550  0.3683  1 P 1.70
O  0.8450  0.6901  0.3683  1 P 1.70

## Properties
Size of the total moment in μB/f.u.: 3.0
Uncorrected formation energy in eV per atom: -2.268
Symmetry: P-3m1

Entry 4:
Below is an optimized crystal structure of SrRu2Pt, with properties calculated at the PBE-GGA level.

a b c (Å): 10.1548 10.1548 10.1548
angles (deg): 155.51 155.51 34.90
Last column: nearest neighbours and their distance in Å.
Atoms (fractional coordinates):
Sr  0.0000  0.0000  0.0000  4 Pt 3.05, 4 Ru 3.13
Sr  0.7500  0.2500  0.5000  4 Pt 3.05, 4 Ru 3.13
Ru  0.2637  0.6250  0.1387  2 Ru 2.36
Ru  0.3750  0.5137  0.6387  2 Ru 2.36
Ru  0.4863  0.1250  0.8613  2 Ru 2.36
Ru  0.8750  0.7363  0.3613  2 Ru 2.36
Pt  0.2500  0.7500  0.5000  4 Ru 2.69
Pt  0.5000  0.5000  0.0000  4 Ru 2.69

## Properties
Size of the total moment in μB/f.u.: 0.0
Formation energy in eV per formula unit: 1.706
Relative energy among the computed polymorphs in meV per atom: 353
Symmetry: I-42d

Entry 5:
Below is an optimized crystal structure of CsNdCuCl5, with properties calculated at the PBE-GGA level.

a b c (Å): 7.6796 7.6796 10.3794
angles (deg): 103.54 103.54 106.28
Last column: nearest neighbours and their distance in Å.
Atoms (fractional coordinates):
Cs  0.1521  0.8479  0.7500  5 Cl 3.38-3.49
Cs  0.8479  0.1521  0.2500  5 Cl 3.38-3.49
Nd  0.5000  0.5000  0.0000  6 Cl 2.75-2.76
Nd  0.5000  0.5000  0.5000  6 Cl 2.75-2.76
Cu  0.1904  0.8096  0.2500  4 Cl 2.35-2.38
Cu  0.8096  0.1904  0.7500  4 Cl 2.35-2.38
Cl  0.1186  0.2721  0.9130  1 Cu 2.38
Cl  0.1997  0.6083  0.3891  1 Cu 2.35
Cl  0.2721  0.1186  0.4130  1 Cu 2.38
Cl  0.3917  0.8003  0.1109  1 Cu 2.35
Cl  0.4271  0.5729  0.7500  2 Nd 2.75
Cl  0.5729  0.4271  0.2500  2 Nd 2.75
Cl  0.6083  0.1997  0.8891  1 Cu 2.35
Cl  0.7279  0.8814  0.5870  1 Cu 2.38
Cl  0.8003  0.3917  0.6109  1 Cu 2.35
Cl  0.8814  0.7279  0.0870  1 Cu 2.38

## Properties
Size of the total moment in μB/f.u.: 0.2
Uncorrected formation energy in eV per atom: -1.741
Symmetry: C2/c

Entry 6:
Below is an optimized crystal structure of Cs2Pm2S5, with properties calculated at the PBE-GGA level.

a b c (Å): 9.5815 9.5815 7.8202
angles (deg): 90.00 90.00 48.14
Last column: nearest neighbours and their distance in Å.
Atoms (fractional coordinates):
Cs  0.1983  0.1983  0.0000  7 S 3.47-3.70
Cs  0.3017  0.3017  0.5000  7 S 3.47-3.70
Cs  0.6983  0.6983  0.5000  7 S 3.47-3.70
Cs  0.8017  0.8017  0.0000  7 S 3.47-3.70
Pm  0.1702  0.8298  0.6702  8 S 2.90-2.95
Pm  0.3298  0.6702  0.1702  8 S 2.90-2.95
Pm  0.6702  0.3298  0.8298  8 S 2.90-2.95
Pm  0.8298  0.1702  0.3298  8 S 2.90-2.95
S  0.0000  0.0000  0.0000  4 Pm 2.90
S  0.0163  0.7743  0.3791  1 S 2.67, 3 Pm 2.95
S  0.2257  0.9837  0.3791  1 S 2.67, 3 Pm 2.95
S  0.2743  0.5163  0.8791  1 S 2.67, 3 Pm 2.95
S  0.4837  0.7257  0.8791  1 S 2.67, 3 Pm 2.95
S  0.5000  0.5000  0.5000  4 Pm 2.90
S  0.5163  0.2743  0.1209  1 S 2.67, 3 Pm 2.95
S  0.7257  0.4837  0.1209  1 S 2.67, 3 Pm 2.95
S  0.7743  0.0163  0.6209  1 S 2.67, 3 Pm 2.95
S  0.9837  0.2257  0.6209  1 S 2.67, 3 Pm 2.95

## Properties
Size of the total moment in μB/f.u.: 2.0
Uncorrected formation energy in eV per atom: -1.432
Symmetry: Cmce

Entry 7:
Below is an optimized crystal structure of PmHfPd, with properties calculated at the PBE-GGA level.

a b c (Å): 13.4777 3.5334 3.5334
angles (deg): 60.15 90.00 90.00
Last column: nearest neighbours and their distance in Å.
Atoms (fractional coordinates):
Pm  0.1635  0.0000  0.0000  3 Pd 3.00-3.01
Pm  0.8365  0.0000  0.0000  3 Pd 3.00-3.01
Hf  0.3654  0.3347  0.3347  3 Pd 2.73
Hf  0.6346  0.3347  0.3347  3 Pd 2.73
Pd  0.0000  0.3345  0.3345  6 Pm 3.00-3.01
Pd  0.5000  0.0009  0.0009  6 Hf 2.73

## Properties
Size of the total moment in μB/f.u.: 0.0
Formation energy in eV per formula unit: -0.528
Relative energy among the computed polymorphs in meV per atom: 210
Symmetry: Amm2

Entry 8:
Below is an optimized crystal structure of Y2TeBr2, with properties calculated at the PBE-GGA level.

a b c (Å): 6.4224 6.4224 6.4224
angles (deg): 131.75 131.75 70.62
Last column: nearest neighbours and their distance in Å.
Atoms (fractional coordinates):
Y  0.2500  0.7500  0.5000  4 Br 2.83
Y  0.7500  0.2500  0.5000  4 Br 2.83
Te  0.0000  0.0000  0.0000  10 Br 3.68-4.03, 8 Y 3.71
Br  0.3513  0.3513  0.0000  4 Y 2.83, 1 Br 3.12
Br  0.6487  0.6487  0.0000  4 Y 2.83, 1 Br 3.12

## Properties
Size of the total moment in μB/f.u.: 0.0
Uncorrected formation energy in eV per atom: -1.114
Symmetry: I4/mmm